First-principles (PBE) data for LaEuTmTl after structural relaxation, as listed in the Alexandria database.

POSCAR file:
```
LaEuTmTl
1.0
-1.2683 5.4646 -0.1933
-5.1703 1.7301 1.3351
-0.8646 2.8505 4.7576
Eu Tm La Tl
1 1 1 1
Direct
0.5000 0.5000 0.5000
0.2500 0.2500 0.2500
0.7500 0.7500 0.7500
0.0000 0.0000 0.0000
```

E = -22.3 eV/cell
SG = F-43m, No. 216

=====

First-principles (PBE) data for TiVCr2 after structural relaxation, as listed in the Alexandria database.

POSCAR file:
```
TiVCr2
1.0
-0.1167 5.5285 3.5404
-2.9822 -3.1991 4.8974
0.7376 0.5699 5.2230
Ti Cr V
2 4 2
Direct
0.5000 0.5000 0.0000
0.2500 0.7500 0.5000
0.1082 0.6250 0.2500
0.3750 0.3582 0.7500
0.6418 0.1250 0.2500
0.8750 0.8918 0.7500
0.0000 0.0000 0.0000
0.7500 0.2500 0.5000
```

E above lowest polymorph = 524 meV per atom
SG = I-42d, No. 122

=====

First-principles (PBE) data for InBCSe2 after structural relaxation, as listed in the Alexandria database.

POSCAR file:
```
InBCSe2
1.0
4.4774 0.0000 0.0000
0.0000 4.5513 0.0000
0.0000 0.0000 4.4774
B Se C In
1 2 1 1
Direct
0.5000 0.5000 0.5000
0.0000 0.0000 0.5000
0.5000 0.0000 0.0000
0.0000 0.0000 0.0000
0.0000 0.5000 0.0000
```

raw formation energy = 1.6267 eV/atom
SG = P4/mmm, No. 123

=====

First-principles (PBE) data for Tm3ThIr4 after structural relaxation, as listed in the Alexandria database.

POSCAR file:
```
Tm3ThIr4
1.0
-0.6596 -1.5234 4.5793
-0.8202 -4.7155 0.9037
7.3248 -3.3016 2.5473
Ir Th Tm
4 1 3
Direct
0.3762 0.3762 0.8713
0.1248 0.1248 0.6255
0.8752 0.8752 0.3745
0.6238 0.6238 0.1287
0.0000 0.0000 0.0000
0.2461 0.2461 0.2617
0.5000 0.5000 0.5000
0.7539 0.7539 0.7383
```

E = -63.3 eV/cell
SG = R-3m, No. 166

=====

M_tot in μB per cell, matching the order above: 7.96, 0.00, 0.01, 0.00